DFT (GGA+U) results for a geometry-optimized NaNdNi4O12 structure.

a b c (Å): 5.358 5.358 7.685
angles (deg): 90.00 90.00 90.00
Atoms (fractional coordinates):
Na 0.000 0.000 0.000
Nd 0.500 0.500 0.500
Ni 0.000 0.500 0.245
Ni 0.000 0.500 0.755
Ni 0.500 0.000 0.245
Ni 0.500 0.000 0.755
O 0.000 0.500 0.000
O 0.000 0.500 0.500
O 0.262 0.262 0.264
O 0.262 0.262 0.736
O 0.262 0.738 0.264
O 0.262 0.738 0.736
O 0.500 0.000 0.000
O 0.500 0.000 0.500
O 0.738 0.262 0.264
O 0.738 0.262 0.736
O 0.738 0.738 0.264
O 0.738 0.738 0.736

Computed properties:
SG	P4/mmm, No. 123
energy	-0.173	Ha/atom